w.
The following is a DFT calculation (GGA-PBE) of an optimized crystal structure of KNa3Au2.

abc: 5.2827 5.2827 13.6001
angles: 90.00 90.00 120.00
With the nearest neighbours (Å) after each atom.
Space group P6_3/mmc (No. 194)
Symmetry-distinct sites (fractional):
K  0.0000  0.0000  0.2500  6 Au 3.39, 8 Na 3.40-3.74
Na  0.0000  0.0000  0.0000  6 Na 3.29, 2 K 3.40, 6 Au 3.60
Na  0.3333  0.6667  0.0904  4 Au 3.13-3.14, 3 Na 3.29
Au  0.3333  0.6667  0.6407  1 Au 2.97, 4 Na 3.13-3.14

Values from the calculation:
spin magnetization	0.000	μB/cell


x.
The following is a DFT calculation (GGA-PBE) of an optimized crystal structure of KNa3Au2.

abc: 4.6772 9.8485 15.3849
angles: 90.00 90.00 90.00
With the nearest neighbours (Å) after each atom.
Space group Immm (No. 71)
Symmetry-distinct sites (fractional):
K  0.0000  0.0000  0.1335  6 Au 3.41-3.62, 2 Na 3.64
Na  0.0000  0.1937  0.3346  3 Au 3.01-3.04
Na  0.0000  0.3406  0.0000  4 Au 3.05-3.28, 1 Na 3.14
Au  0.0000  0.3577  0.5000  1 Au 2.80, 4 Na 3.01-3.05
Au  0.0000  0.5000  0.1872  6 Na 3.04-3.28

Values from the calculation:
spin magnetization	0.000	μB/cell


The winner here is x, beating the second structure by 0.014 eV/atom.


w.
The following is a DFT calculation (GGA-PBE) of an optimized crystal structure of K3Na5Au2.

abc: 12.6542 16.4667 7.2029
angles: 90.00 90.00 90.00
With the nearest neighbours (Å) after each atom.
Space group Ibam (No. 72)
Symmetry-distinct sites (fractional):
K  0.0000  0.0000  0.2500  4 Au 3.49, 2 K 3.60
K  0.2112  0.1757  0.0000  4 Au 3.61-3.92, 2 Na 3.78
Na  0.0000  0.2962  0.2500  2 Au 3.00, 1 Na 3.36
Na  0.0000  0.5000  0.2500  8 Na 3.36-3.60
Na  0.2172  0.4304  0.0000  1 Au 2.94
Au  0.0893  0.1680  0.5000  3 Na 2.94-3.00

Values from the calculation:
spin magnetization	0.000	μB/cell


x.
The following is a DFT calculation (GGA-PBE) of an optimized crystal structure of K3Na5Au2.

abc: 12.2541 12.2541 4.8964
angles: 90.00 90.00 90.00
With the nearest neighbours (Å) after each atom.
Space group P4/mbm (No. 127)
Symmetry-distinct sites (fractional):
K  0.0000  0.0000  0.0000  8 Na 3.86
K  0.1688  0.3312  0.0000  3 Au 3.61-3.62, 6 Na 3.82-4.04
Na  0.0000  0.5000  0.5000  4 Au 3.24, 4 Na 3.42
Na  0.0765  0.7687  0.5000  2 Au 3.09, 2 Na 3.33-3.42
Au  0.1224  0.6224  0.0000  6 Na 3.09-3.24

Values from the calculation:
spin magnetization	0.000	μB/cell


The winner here is x, beating the second structure by 0.023 eV/atom.


w.
The following is a DFT calculation (GGA-PBE) of an optimized crystal structure of K2RbNaAu.

abc: 6.6019 6.6019 5.9946
angles: 90.00 90.00 90.00
With the nearest neighbours (Å) after each atom.
Space group P4/mmm (No. 123)
Symmetry-distinct sites (fractional):
K  0.0000  0.5000  0.0000  2 Au 3.30
Rb  0.0000  0.0000  0.5000  8 K 4.46, 4 Na 4.67
Na  0.5000  0.5000  0.5000  2 Au 3.00
Au  0.5000  0.5000  0.0000  2 Na 3.00, 4 K 3.30

Values from the calculation:
spin magnetization	0.000	μB/cell


x.
The following is a DFT calculation (GGA-PBE) of an optimized crystal structure of K2RbNaAu.

abc: 6.8382 6.8382 5.5992
angles: 90.00 90.00 90.00
With the nearest neighbours (Å) after each atom.
Space group P4/mmm (No. 123)
Symmetry-distinct sites (fractional):
K  0.0000  0.5000  0.0000  2 Na 3.42
Rb  0.0000  0.0000  0.5000  8 K 4.42, 4 Au 4.84
Na  0.5000  0.5000  0.0000  2 Au 2.80
Au  0.5000  0.5000  0.5000  2 Na 2.80

Values from the calculation:
spin magnetization	0.000	μB/cell


The winner here is w, beating the second structure by 0.162 eV/atom.